DFT (PBE-GGA) results for an optimized crystal structure of Rb2BaTi2.

Properties
Crystal system: tetragonal
Energy above the lowest structure with this stoichiometry in meV/atom: 0
Space group: No. 139
Fermi-level density of states in states/eV/atom: 1.174
Energy relative to the elements in eV/atom: 0.953

a = 5.2762 Å, b = 5.2762 Å, c = 9.1399 Å
α = 73.22°, β = 73.22°, γ = 90.00°
Element x y z (fractional)
Rb 0.7500 0.2500 0.5000
Ti 0.5605 0.5605 0.8791
Rb 0.2500 0.7500 0.5000
Ba 0.0000 0.0000 0.0000
Ti 0.4395 0.4395 0.1209


DFT (PBE-GGA) results for an optimized crystal structure of Rb2BaTi2.

Properties
Crystal system: tetragonal
Energy above the lowest structure with this stoichiometry in meV/atom: 137
Space group: No. 127
Fermi-level density of states in states/eV/atom: 1.597
Energy relative to the elements in eV/atom: 1.091

a = 10.9817 Å, b = 10.9817 Å, c = 3.7678 Å
α = 90.00°, β = 90.00°, γ = 90.00°
Element x y z (fractional)
Ti 0.4324 0.9324 0.0000
Rb 0.2935 0.2065 0.5000
Ba 0.0000 0.0000 0.0000
Rb 0.2065 0.7065 0.5000
Ti 0.9324 0.5676 0.0000
Ti 0.5676 0.0676 0.0000
Rb 0.7065 0.7935 0.5000
Ti 0.0676 0.4324 0.0000
Ba 0.5000 0.5000 0.0000
Rb 0.7935 0.2935 0.5000